# PBE-GGA TaNb2AlAu, relaxed
data_TaNb2AlAu
_chemical_formula_sum 'Ta1 Nb2 Al1 Au1'
_symmetry_space_group_name_H-M 'P 4/m m m'
_symmetry_Int_Tables_number 123
_symmetry_space_group_name_Hall '-P 4 2'
_cell_length_a 4.663
_cell_length_b 4.663
_cell_length_c 4.708
_cell_angle_alpha 90.00
_cell_angle_beta 90.00
_cell_angle_gamma 90.00
loop_
_atom_site_label
_atom_site_type_symbol
_atom_site_fract_x
_atom_site_fract_y
_atom_site_fract_z
Ta1 Ta 0.000 0.000 0.000
Nb1 Nb 0.000 0.500 0.500
Al1 Al 0.000 0.000 0.500
Au1 Au 0.500 0.500 0.000
# * DFT formation energy: 1110 meV/atom


# PBE-GGA NbAlTe2Au, relaxed
data_NbAlTe2Au
_chemical_formula_sum 'Nb1 Al1 Te2 Au1'
_symmetry_space_group_name_H-M 'P 4/m m m'
_symmetry_Int_Tables_number 123
_symmetry_space_group_name_Hall '-P 4 2'
_cell_length_a 5.170
_cell_length_b 5.170
_cell_length_c 5.095
_cell_angle_alpha 90.00
_cell_angle_beta 90.00
_cell_angle_gamma 90.00
loop_
_atom_site_label
_atom_site_type_symbol
_atom_site_fract_x
_atom_site_fract_y
_atom_site_fract_z
Nb1 Nb 0.000 0.000 0.000
Al1 Al 0.000 0.000 0.500
Te1 Te 0.000 0.500 0.500
Au1 Au 0.500 0.500 0.000
# * formation energy (no corrections): 0.94 eV/atom


# PBE-GGA TiNbAlAu, relaxed
data_TiNbAlAu
_chemical_formula_sum 'Ti1 Nb1 Al1 Au1'
_symmetry_space_group_name_H-M 'P m m m'
_symmetry_Int_Tables_number 47
_cell_length_a 3.699
_cell_length_b 4.098
_cell_length_c 4.408
_cell_angle_alpha 90.00
_cell_angle_beta 90.00
_cell_angle_gamma 90.00
loop_
_symmetry_equiv_pos_as_xyz
'x,y,z'
'-x,-y,-z'
'-x,-y,z'
'x,y,-z'
'x,-y,-z'
'-x,y,z'
'-x,y,-z'
'x,-y,z'
loop_
_atom_site_label
_atom_site_type_symbol
_atom_site_fract_x
_atom_site_fract_y
_atom_site_fract_z
Ti1 Ti 0.000 0.000 0.000
Nb1 Nb 0.500 0.500 0.000
Al1 Al 0.000 0.500 0.500
Au1 Au 0.500 0.000 0.500
# * DFT formation energy: -378 meV/atom


# PBE-GGA TiNbAlAu, relaxed
data_TiNbAlAu
_chemical_formula_sum 'Ti4 Nb4 Al4 Au4'
_symmetry_space_group_name_H-M 'F -4 3 m'
_symmetry_Int_Tables_number 216
_symmetry_space_group_name_Hall 'F -4 2 3'
_cell_length_a 6.447
_cell_length_b 6.447
_cell_length_c 6.447
_cell_angle_alpha 90.00
_cell_angle_beta 90.00
_cell_angle_gamma 90.00
loop_
_atom_site_label
_atom_site_type_symbol
_atom_site_fract_x
_atom_site_fract_y
_atom_site_fract_z
Ti1 Ti 0.000 0.000 0.000
Nb1 Nb 0.250 0.250 0.250
Al1 Al 0.000 0.000 0.500
Au1 Au 0.250 0.250 0.750
# * DFT formation energy: -121 meV/atom


# PBE-GGA NbAlVAu, relaxed
data_NbAlVAu
_chemical_formula_sum 'Nb4 Al4 V4 Au4'
_symmetry_space_group_name_H-M 'F -4 3 m'
_symmetry_Int_Tables_number 216
_symmetry_space_group_name_Hall 'F -4 2 3'
_cell_length_a 6.350
_cell_length_b 6.350
_cell_length_c 6.350
_cell_angle_alpha 90.00
_cell_angle_beta 90.00
_cell_angle_gamma 90.00
loop_
_atom_site_label
_atom_site_type_symbol
_atom_site_fract_x
_atom_site_fract_y
_atom_site_fract_z
Nb1 Nb 0.000 0.000 0.000
Al1 Al 0.250 0.250 0.750
V1 V 0.250 0.250 0.250
Au1 Au 0.000 0.000 0.500
# * DFT formation energy: -7 meV/atom


# PBE-GGA Nd2Al3Au9, relaxed
data_Nd2Al3Au9
_chemical_formula_sum 'Nd8 Al12 Au36'
_symmetry_space_group_name_H-M 'C 1 2/c 1'
_symmetry_Int_Tables_number 15
_cell_length_a 13.896
_cell_length_b 7.941
_cell_length_c 10.999
_cell_angle_alpha 90.00
_cell_angle_beta 115.32
_cell_angle_gamma 90.00
loop_
_symmetry_equiv_pos_as_xyz
'x,y,z'
'-x,-y,-z'
'-x,y,-z+1/2'
'x,-y,z+1/2'
'x+1/2,y+1/2,z'
'-x+1/2,-y+1/2,-z'
'-x+1/2,y+1/2,-z+1/2'
'x+1/2,-y+1/2,z+1/2'
loop_
_atom_site_label
_atom_site_type_symbol
_atom_site_fract_x
_atom_site_fract_y
_atom_site_fract_z
Nd1 Nd 0.168 0.083 0.247
Al1 Al 0.086 0.239 0.498
Al2 Al 0.250 0.250 0.000
Au1 Au 0.000 0.356 0.250
Au2 Au 0.061 0.083 0.928
Au3 Au 0.106 0.413 0.064
Au4 Au 0.110 0.308 0.743
Au5 Au 0.227 0.418 0.435
# * DFT formation energy: -607 meV/atom


# PBE-GGA Nd2AlAu3, relaxed
data_Nd2AlAu3
_chemical_formula_sum 'Nd2 Al1 Au3'
_symmetry_space_group_name_H-M 'P m m 2'
_symmetry_Int_Tables_number 25
_cell_length_a 3.682
_cell_length_b 4.637
_cell_length_c 8.196
_cell_angle_alpha 90.00
_cell_angle_beta 90.00
_cell_angle_gamma 90.00
loop_
_symmetry_equiv_pos_as_xyz
'x,y,z'
'-x,-y,z'
'-x,y,z'
'x,-y,z'
loop_
_atom_site_label
_atom_site_type_symbol
_atom_site_fract_x
_atom_site_fract_y
_atom_site_fract_z
Nd1 Nd 0.000 0.000 0.000
Nd2 Nd 0.000 0.500 0.475
Al1 Al 0.500 0.500 0.812
Au1 Au 0.500 0.000 0.329
Au2 Au 0.500 0.000 0.673
Au3 Au 0.500 0.500 0.131
# * DFT formation energy: -764 meV/atom


# PBE-GGA Nd2AlAu, relaxed
data_Nd2AlAu
_chemical_formula_sum 'Nd2 Al1 Au1'
_symmetry_space_group_name_H-M 'P 4/m m m'
_symmetry_Int_Tables_number 123
_symmetry_space_group_name_Hall '-P 4 2'
_cell_length_a 3.668
_cell_length_b 3.668
_cell_length_c 7.718
_cell_angle_alpha 90.00
_cell_angle_beta 90.00
_cell_angle_gamma 90.00
loop_
_atom_site_label
_atom_site_type_symbol
_atom_site_fract_x
_atom_site_fract_y
_atom_site_fract_z
Nd1 Nd 0.000 0.000 0.247
Al1 Al 0.500 0.500 0.500
Au1 Au 0.500 0.500 0.000
# * DFT formation energy: -543 meV/atom


# PBE-GGA Nd2Al3Au, relaxed
data_Nd2Al3Au
_chemical_formula_sum 'Nd4 Al6 Au2'
_symmetry_space_group_name_H-M 'C 1 m 1'
_symmetry_Int_Tables_number 8
_cell_length_a 10.735
_cell_length_b 4.626
_cell_length_c 7.551
_cell_angle_alpha 90.00
_cell_angle_beta 133.33
_cell_angle_gamma 90.00
loop_
_symmetry_equiv_pos_as_xyz
'x,y,z'
'x,-y,z'
'x+1/2,y+1/2,z'
'x+1/2,-y+1/2,z'
loop_
_atom_site_label
_atom_site_type_symbol
_atom_site_fract_x
_atom_site_fract_y
_atom_site_fract_z
Nd1 Nd 0.000 0.000 0.000
Nd2 Nd 0.090 0.000 0.595
Al1 Al 0.210 0.500 0.403
Al2 Al 0.382 0.000 0.199
Al3 Al 0.390 0.000 0.593
Au1 Au 0.214 0.500 0.021
# * DFT formation energy: -611 meV/atom


# PBE-GGA NdAlAu, relaxed
data_NdAlAu
_chemical_formula_sum 'Nd4 Al4 Au4'
_symmetry_space_group_name_H-M 'F -4 3 m'
_symmetry_Int_Tables_number 216
_symmetry_space_group_name_Hall 'F -4 2 3'
_cell_length_a 6.770
_cell_length_b 6.770
_cell_length_c 6.770
_cell_angle_alpha 90.00
_cell_angle_beta 90.00
_cell_angle_gamma 90.00
loop_
_atom_site_label
_atom_site_type_symbol
_atom_site_fract_x
_atom_site_fract_y
_atom_site_fract_z
Nd1 Nd 0.000 0.000 0.000
Al1 Al 0.000 0.000 0.500
Au1 Au 0.250 0.250 0.750
# * DFT formation energy: -524 meV/atom


# PBE-GGA Nd2Al5Au4, relaxed
data_Nd2Al5Au4
_chemical_formula_sum 'Nd8 Al20 Au16'
_symmetry_space_group_name_H-M 'F m m m'
_symmetry_Int_Tables_number 69
_symmetry_space_group_name_Hall '-F 2 2'
_cell_length_a 5.532
_cell_length_b 9.582
_cell_length_c 17.116
_cell_angle_alpha 90.00
_cell_angle_beta 90.00
_cell_angle_gamma 90.00
loop_
_atom_site_label
_atom_site_type_symbol
_atom_site_fract_x
_atom_site_fract_y
_atom_site_fract_z
Nd1 Nd 0.000 0.000 0.112
Al1 Al 0.000 0.000 0.500
Al2 Al 0.250 0.250 0.000
Al3 Al 0.250 0.250 0.250
Au1 Au 0.000 0.162 0.368
# * DFT formation energy: -600 meV/atom


# PBE-GGA Nd2AlAu2, relaxed
data_Nd2AlAu2
_chemical_formula_sum 'Nd8 Al4 Au8'
_symmetry_space_group_name_H-M 'C 1 2/m 1'
_symmetry_Int_Tables_number 12
_cell_length_a 11.113
_cell_length_b 4.457
_cell_length_c 11.207
_cell_angle_alpha 90.00
_cell_angle_beta 118.65
_cell_angle_gamma 90.00
loop_
_symmetry_equiv_pos_as_xyz
'x,y,z'
'-x,-y,-z'
'-x,y,-z'
'x,-y,z'
'x+1/2,y+1/2,z'
'-x+1/2,-y+1/2,-z'
'-x+1/2,y+1/2,-z'
'x+1/2,-y+1/2,z'
loop_
_atom_site_label
_atom_site_type_symbol
_atom_site_fract_x
_atom_site_fract_y
_atom_site_fract_z
Nd1 Nd 0.001 0.000 0.336
Nd2 Nd 0.190 0.000 0.107
Al1 Al 0.218 0.500 0.357
Au1 Au 0.020 0.500 0.879
Au2 Au 0.151 0.500 0.569
# * DFT formation energy: -722 meV/atom